Record 1
Compound: LaTbRu
Source: Alexandria via LeMat-Bulk
Functional: PBE
Structure: relaxed

```
3
Lattice="-2.826 -5.532 0.526 0.976 -0.119 3.993 -3.548 1.698 -1.200" Properties=species:S:1:pos:R:3 pbc="T T T"
Ru -2.821 -5.523 0.525
Tb -2.700 -3.757 2.666
La -2.703 -0.205 0.654
```

Calculated values
Spin magnetization = 0.00 μB per cell
DOS at the Fermi energy = 0.374 states/eV per atom
Energy of formation = -0.188 eV per atom

=====

Record 2
Compound: LaTbTlRu
Source: Alexandria via LeMat-Bulk
Functional: PBE
Structure: relaxed

```
4
Lattice="-1.130 -4.927 -1.331 2.817 -3.947 1.954 -2.121 -3.236 3.515" Properties=species:S:1:pos:R:3 pbc="T T T"
Ru -0.109 -3.028 1.034
Tl -0.326 -9.083 3.103
Tb -0.217 -6.055 2.069
La 0.000 0.000 0.000
```

Calculated values
Spin magnetization = 0.00 μB per cell
DOS at the Fermi energy = 0.635 states/eV per atom
Energy of formation = -0.182 eV per atom